(1)
Entry from Alexandria: a geometry-optimized Be2Os structure (PBEsol).

Computed properties:
Space-group type: No. 140
Volume in Å³/cell: 64.8
Spin magnetization in μB/cell: 0.0

Structure (CIF):
```
data_Be2Os
_cell_length_a 4.467
_cell_length_b 4.467
_cell_length_c 4.467
_cell_angle_alpha 118.00
_cell_angle_beta 118.00
_cell_angle_gamma 93.50
_space_group_name_H-M_alt 'P 1'
_space_group_IT_number 1
loop_
_space_group_symop_operation_xyz
'x,y,z'
loop_
_atom_site_label
_atom_site_type_symbol
_atom_site_fract_x
_atom_site_fract_y
_atom_site_fract_z
Be1 Be 0.183 0.683 0.866
Be2 Be 0.317 0.183 0.500
Be3 Be 0.683 0.817 0.500
Be4 Be 0.817 0.317 0.134
Os1 Os 0.250 0.250 0.000
Os2 Os 0.750 0.750 0.000
```

(2)
Entry from Alexandria: a geometry-optimized Be5Os structure (PBEsol).

Computed properties:
Space-group type: No. 71
Volume in Å³/cell: 54.3
Spin magnetization in μB/cell: 0.0

Structure (CIF):
```
data_Be5Os
_cell_length_a 4.371
_cell_length_b 4.371
_cell_length_c 4.371
_cell_angle_alpha 131.33
_cell_angle_beta 115.33
_cell_angle_gamma 84.93
_space_group_name_H-M_alt 'P 1'
_space_group_IT_number 1
loop_
_space_group_symop_operation_xyz
'x,y,z'
loop_
_atom_site_label
_atom_site_type_symbol
_atom_site_fract_x
_atom_site_fract_y
_atom_site_fract_z
Be1 Be 0.000 0.000 0.000
Be2 Be 0.082 0.336 0.746
Be3 Be 0.410 0.664 0.746
Be4 Be 0.590 0.336 0.254
Be5 Be 0.918 0.664 0.254
Os1 Os 0.500 0.000 0.500
```

(3)
Entry from Alexandria: a geometry-optimized BeOs3 structure (PBEsol).

Computed properties:
Space-group type: No. 65
Volume in Å³/cell: 52.4
Spin magnetization in μB/cell: 0.0

Structure (CIF):
```
data_BeOs3
_cell_length_a 2.653
_cell_length_b 2.653
_cell_length_c 8.395
_cell_angle_alpha 90.00
_cell_angle_beta 90.00
_cell_angle_gamma 117.44
_space_group_name_H-M_alt 'P 1'
_space_group_IT_number 1
loop_
_space_group_symop_operation_xyz
'x,y,z'
loop_
_atom_site_label
_atom_site_type_symbol
_atom_site_fract_x
_atom_site_fract_y
_atom_site_fract_z
Be1 Be 0.000 0.000 0.000
Os1 Os 0.000 0.000 0.500
Os2 Os 0.500 0.500 0.227
Os3 Os 0.500 0.500 0.773
```

(4)
Entry from Alexandria: a geometry-optimized BeOs3 structure (PBEsol).

Computed properties:
Space-group type: No. 123
Volume in Å³/cell: 52.6
Spin magnetization in μB/cell: 0.0

Structure (CIF):
```
data_BeOs3
_cell_length_a 4.324
_cell_length_b 4.324
_cell_length_c 2.816
_cell_angle_alpha 90.00
_cell_angle_beta 90.00
_cell_angle_gamma 90.00
_space_group_name_H-M_alt 'P 1'
_space_group_IT_number 1
loop_
_space_group_symop_operation_xyz
'x,y,z'
loop_
_atom_site_label
_atom_site_type_symbol
_atom_site_fract_x
_atom_site_fract_y
_atom_site_fract_z
Be1 Be 0.000 0.000 0.000
Os1 Os 0.000 0.500 0.500
Os2 Os 0.500 0.000 0.500
Os3 Os 0.500 0.500 0.000
```

(5)
Entry from Alexandria: a geometry-optimized Be2Os structure (PBEsol).

Computed properties:
Space-group type: No. 62
Volume in Å³/cell: 120.6
Spin magnetization in μB/cell: 0.0

Structure (CIF):
```
data_Be2Os
_cell_length_a 5.246
_cell_length_b 2.928
_cell_length_c 7.850
_cell_angle_alpha 90.00
_cell_angle_beta 90.00
_cell_angle_gamma 90.00
_space_group_name_H-M_alt 'P 1'
_space_group_IT_number 1
loop_
_space_group_symop_operation_xyz
'x,y,z'
loop_
_atom_site_label
_atom_site_type_symbol
_atom_site_fract_x
_atom_site_fract_y
_atom_site_fract_z
Be1 Be 0.112 0.250 0.080
Be2 Be 0.133 0.250 0.724
Be3 Be 0.367 0.750 0.224
Be4 Be 0.388 0.750 0.580
Be5 Be 0.612 0.250 0.420
Be6 Be 0.633 0.250 0.776
Be7 Be 0.867 0.750 0.276
Be8 Be 0.888 0.750 0.920
Os1 Os 0.150 0.250 0.401
Os2 Os 0.350 0.750 0.901
Os3 Os 0.650 0.250 0.099
Os4 Os 0.850 0.750 0.599
```

(6)
Entry from Alexandria: a geometry-optimized Be2Os structure (PBEsol).

Computed properties:
Space-group type: No. 191
Volume in Å³/cell: 29.5
Spin magnetization in μB/cell: 0.0

Structure (CIF):
```
data_Be2Os
_cell_length_a 3.593
_cell_length_b 3.593
_cell_length_c 2.642
_cell_angle_alpha 90.00
_cell_angle_beta 90.00
_cell_angle_gamma 120.00
_space_group_name_H-M_alt 'P 1'
_space_group_IT_number 1
loop_
_space_group_symop_operation_xyz
'x,y,z'
loop_
_atom_site_label
_atom_site_type_symbol
_atom_site_fract_x
_atom_site_fract_y
_atom_site_fract_z
Be1 Be 0.333 0.667 0.000
Be2 Be 0.667 0.333 0.000
Os1 Os 0.000 0.000 0.500
```

(7)
Entry from Alexandria: a geometry-optimized Be4POs structure (PBEsol).

Computed properties:
Space-group type: No. 216
Volume in Å³/cell: 55.5
Spin magnetization in μB/cell: 0.0

Structure (CIF):
```
data_Be4POs
_cell_length_a 4.282
_cell_length_b 4.282
_cell_length_c 4.282
_cell_angle_alpha 60.00
_cell_angle_beta 60.00
_cell_angle_gamma 60.00
_space_group_name_H-M_alt 'P 1'
_space_group_IT_number 1
loop_
_space_group_symop_operation_xyz
'x,y,z'
loop_
_atom_site_label
_atom_site_type_symbol
_atom_site_fract_x
_atom_site_fract_y
_atom_site_fract_z
Be1 Be 0.376 0.376 0.376
Be2 Be 0.376 0.376 0.872
Be3 Be 0.376 0.872 0.376
Be4 Be 0.872 0.376 0.376
P1 P 0.000 0.000 0.000
Os1 Os 0.750 0.750 0.750
```

(8)
Entry from Alexandria: a geometry-optimized BeOs2Pb structure (PBEsol).

Computed properties:
Space-group type: No. 12
Volume in Å³/cell: 60.1
Spin magnetization in μB/cell: 0.0

Structure (CIF):
```
data_BeOs2Pb
_cell_length_a 4.581
_cell_length_b 4.581
_cell_length_c 4.918
_cell_angle_alpha 104.88
_cell_angle_beta 104.88
_cell_angle_gamma 37.24
_space_group_name_H-M_alt 'P 1'
_space_group_IT_number 1
loop_
_space_group_symop_operation_xyz
'x,y,z'
loop_
_atom_site_label
_atom_site_type_symbol
_atom_site_fract_x
_atom_site_fract_y
_atom_site_fract_z
Be1 Be 0.000 0.000 0.000
Os1 Os 0.283 0.283 0.803
Os2 Os 0.717 0.717 0.197
Pb1 Pb 0.500 0.500 0.500
```

(9)
Entry from Alexandria: a geometry-optimized BeOsPb2 structure (PBEsol).

Computed properties:
Space-group type: No. 44
Volume in Å³/cell: 82.4
Spin magnetization in μB/cell: 0.0

Structure (CIF):
```
data_BeOsPb2
_cell_length_a 6.698
_cell_length_b 6.698
_cell_length_c 6.698
_cell_angle_alpha 151.89
_cell_angle_beta 144.29
_cell_angle_gamma 46.05
_space_group_name_H-M_alt 'P 1'
_space_group_IT_number 1
loop_
_space_group_symop_operation_xyz
'x,y,z'
loop_
_atom_site_label
_atom_site_type_symbol
_atom_site_fract_x
_atom_site_fract_y
_atom_site_fract_z
Be1 Be 0.000 0.000 0.000
Os1 Os 0.879 0.379 0.500
Pb1 Pb 0.291 0.791 0.500
Pb2 Pb 0.559 0.559 0.000
```

(10)
Entry from Alexandria: a geometry-optimized BeOs2Pb structure (PBEsol).

Computed properties:
Space-group type: No. 35
Volume in Å³/cell: 65.7
Spin magnetization in μB/cell: 0.4

Structure (CIF):
```
data_BeOs2Pb
_cell_length_a 2.863
_cell_length_b 2.863
_cell_length_c 9.202
_cell_angle_alpha 90.00
_cell_angle_beta 90.00
_cell_angle_gamma 119.43
_space_group_name_H-M_alt 'P 1'
_space_group_IT_number 1
loop_
_space_group_symop_operation_xyz
'x,y,z'
loop_
_atom_site_label
_atom_site_type_symbol
_atom_site_fract_x
_atom_site_fract_y
_atom_site_fract_z
Be1 Be 0.000 0.000 0.000
Os1 Os 0.000 0.000 0.425
Os2 Os 0.500 0.500 0.192
Pb1 Pb 0.500 0.500 0.708
```

(11)
Entry from Alexandria: a geometry-optimized BeOs2Pb structure (PBEsol).

Computed properties:
Space-group type: No. 44
Volume in Å³/cell: 59.4
Spin magnetization in μB/cell: 0.0

Structure (CIF):
```
data_BeOs2Pb
_cell_length_a 5.222
_cell_length_b 5.222
_cell_length_c 5.222
_cell_angle_alpha 145.83
_cell_angle_beta 131.36
_cell_angle_gamma 60.78
_space_group_name_H-M_alt 'P 1'
_space_group_IT_number 1
loop_
_space_group_symop_operation_xyz
'x,y,z'
loop_
_atom_site_label
_atom_site_type_symbol
_atom_site_fract_x
_atom_site_fract_y
_atom_site_fract_z
Be1 Be 0.000 0.000 0.000
Os1 Os 0.196 0.696 0.500
Os2 Os 0.459 0.459 0.000
Pb1 Pb 0.746 0.246 0.500
```

(12)
Entry from Alexandria: a geometry-optimized BeOs2Pb structure (PBEsol).

Computed properties:
Space-group type: No. 119
Volume in Å³/cell: 60.2
Spin magnetization in μB/cell: 0.0

Structure (CIF):
```
data_BeOs2Pb
_cell_length_a 4.809
_cell_length_b 4.809
_cell_length_c 4.809
_cell_angle_alpha 131.99
_cell_angle_beta 131.99
_cell_angle_gamma 70.25
_space_group_name_H-M_alt 'P 1'
_space_group_IT_number 1
loop_
_space_group_symop_operation_xyz
'x,y,z'
loop_
_atom_site_label
_atom_site_type_symbol
_atom_site_fract_x
_atom_site_fract_y
_atom_site_fract_z
Be1 Be 0.000 0.000 0.000
Os1 Os 0.500 0.500 0.000
Os2 Os 0.750 0.250 0.500
Pb1 Pb 0.250 0.750 0.500
```

DOS(E_F) for every record listed, in sequence, given in states/eV per cell: 0.89 1.51 5.02 3.79 2.37 1.66 0.84 2.25 2.51 4.77 3.57 2.88.
Formation energy for every record listed, in sequence, given in eV/atom: 0.169 -0.224 0.482 0.440 -0.189 -0.170 -0.176 0.599 0.614 0.969 0.842 0.900.